No. 1
First-principles (PBE-GGA) data for a relaxed Ga6Ir5Ru crystal, as listed in Alexandria.

Lattice parameters (Å, degrees): 4.3046 7.4801 7.4801 119.89 106.85 106.85
With the nearest neighbours (Å) after each atom.
Sites, in units of the cell vectors:
Ru: 0.0000 0.0000 0.0000  8 Ga 2.62-2.63
Ir: 0.5000 0.1693 0.8307  8 Ga 2.63-2.66
Ir: 0.0000 0.3335 0.6665  8 Ga 2.64-2.66
Ir: 0.5000 0.5000 0.5000  8 Ga 2.63-2.66
Ir: 0.0000 0.6665 0.3335  8 Ga 2.64-2.66
Ir: 0.5000 0.8307 0.1693  8 Ga 2.63-2.66
Ga: 0.2478 0.0829 0.4126  1 Ru 2.62, 7 Ir 2.63-2.66
Ga: 0.7522 0.5874 0.9171  1 Ru 2.62, 7 Ir 2.63-2.66
Ga: 0.7458 0.2455 0.2455  2 Ru 2.62-2.63, 6 Ir 2.65-2.66
Ga: 0.2542 0.7545 0.7545  2 Ru 2.62-2.63, 6 Ir 2.65-2.66
Ga: 0.2478 0.4126 0.0829  1 Ru 2.62, 7 Ir 2.63-2.66
Ga: 0.7522 0.9171 0.5874  1 Ru 2.62, 7 Ir 2.63-2.66

Output
- energy relative to the elements (eV/atom) = -0.418
- crystal system = monoclinic

No. 2
First-principles (PBE-GGA) data for a relaxed PmDyPuPb crystal, as listed in Alexandria.

Lattice parameters (Å, degrees): 5.5183 5.5183 5.5183 60.00 60.00 60.00
With the nearest neighbours (Å) after each atom.
Sites, in units of the cell vectors:
Pb: 0.7500 0.7500 0.7500  4 Pu 3.38, 4 Pm 3.38
Dy: 0.2500 0.2500 0.2500  4 Pm 3.38, 4 Pu 3.38
Pm: 0.5000 0.5000 0.5000  4 Pb 3.38, 4 Dy 3.38
Pu: 0.0000 0.0000 0.0000  4 Dy 3.38, 4 Pb 3.38

Output
- energy relative to the elements (eV/atom) = -0.003
- crystal system = cubic

No. 3
First-principles (PBE-GGA) data for a relaxed HfVReIr crystal, as listed in Alexandria.

Lattice parameters (Å, degrees): 4.4698 4.4698 4.4698 60.00 60.00 60.00
With the nearest neighbours (Å) after each atom.
Sites, in units of the cell vectors:
Re: 0.0000 0.0000 0.0000  4 Hf 2.74, 4 V 2.74
Ir: 0.5000 0.5000 0.5000  4 Hf 2.74, 4 V 2.74
Hf: 0.7500 0.7500 0.7500  4 Ir 2.74, 4 Re 2.74
V: 0.2500 0.2500 0.2500  4 Re 2.74, 4 Ir 2.74

Output
- energy relative to the elements (eV/atom) = -0.422
- crystal system = cubic

No. 4
First-principles (PBE-GGA) data for a relaxed ZrCr2Si crystal, as listed in Alexandria.

Lattice parameters (Å, degrees): 4.1704 4.1704 3.3603 90.00 90.00 90.00
With the nearest neighbours (Å) after each atom.
Sites, in units of the cell vectors:
Cr: 0.0000 0.0000 0.0000  4 Si 2.68, 4 Zr 2.68, 4 Cr 2.95
Cr: 0.5000 0.5000 0.0000  4 Zr 2.68, 4 Si 2.68, 4 Cr 2.95
Si: 0.5000 0.0000 0.5000  8 Cr 2.68, 4 Zr 2.95
Zr: 0.0000 0.5000 0.5000  8 Cr 2.68, 4 Si 2.95

Output
- raw formation energy (meV per atom) = -64
- crystal system = tetragonal

No. 5
First-principles (PBE-GGA) data for a relaxed KIr crystal, as listed in Alexandria.

Lattice parameters (Å, degrees): 2.8366 2.8366 11.1533 90.00 90.00 120.00
With the nearest neighbours (Å) after each atom.
Sites, in units of the cell vectors:
Ir: 0.3333 0.6667 0.2500  6 Ir 2.84
Ir: 0.6667 0.3333 0.7500  6 Ir 2.84
K: 0.0000 0.0000 0.0000  6 K 2.84
K: 0.0000 0.0000 0.5000  6 K 2.84

Output
- energy relative to the elements (eV/atom) = 0.842
- relative energy among the computed polymorphs (meV per atom) = 476
- crystal system = hexagonal

No. 6
First-principles (PBE-GGA) data for a relaxed NaCaB3 crystal, as listed in Alexandria.

Lattice parameters (Å, degrees): 4.4488 4.4488 4.4488 90.00 90.00 90.00
With the nearest neighbours (Å) after each atom.
Sites, in units of the cell vectors:
Na: 0.0000 0.0000 0.0000  6 B 2.22
Ca: 0.5000 0.5000 0.5000  12 B 3.15
B: 0.0000 0.5000 0.0000  2 Na 2.22
B: 0.0000 0.0000 0.5000  2 Na 2.22
B: 0.5000 0.0000 0.0000  2 Na 2.22

Output
- energy relative to the elements (eV/atom) = 2.062
- relative energy among the computed polymorphs (meV per atom) = 0
- crystal system = cubic

Calculated values (eV/atom) of E for the records, taken in order: -6.40 -6.85 -10.52 -8.37 -4.14 -2.61.